Here is a geometry-optimized Ac2Si3Ir2 structure from Alexandria. Energies are from PBE.

Cell: 4.5496 18.2474 7.0714 Å, 90.00 90.00 90.00°
Space group Cmcm (No. 63)
Asymmetric unit:
1 Ac 0.0000 0.0583 0.2500 [4 per cell]
2 Ac 0.0000 0.1559 0.7500 [4 per cell]
3 Si 0.0000 0.2292 0.2500 [4 per cell]
4 Si 0.0000 0.4383 0.0705 [8 per cell]
5 Ir 0.0000 0.3094 0.5498 [8 per cell]

Results
- Magnetic moment: 0.00 μB/f.u.
- Formation energy from raw total energies: -595 meV/atom
- DOS at the Fermi energy: 3.70 states/eV/f.u.
- Distance to the lowest polymorph of the same formula: 91.8 meV per atom